# UReC2

UReC2 after structural relaxation (PBE, Alexandria).

Unit cell a=3.191 b=5.602 c=11.045 alpha=90.00 beta=90.00 gamma=90.00
Fractional coordinates of all 16 atoms:
Re (0.750, 0.080, 0.605)
C (0.250, 0.161, 0.244)
C (0.750, 0.839, 0.756)
C (0.250, 0.743, 0.993)
U (0.250, 0.583, 0.641)
C (0.750, 0.257, 0.007)
C (0.250, 0.661, 0.256)
U (0.250, 0.083, 0.859)
Re (0.750, 0.580, 0.895)
Re (0.250, 0.420, 0.105)
Re (0.250, 0.920, 0.395)
C (0.750, 0.757, 0.493)
U (0.750, 0.917, 0.141)
C (0.750, 0.339, 0.744)
U (0.750, 0.417, 0.359)
C (0.250, 0.243, 0.507)

Values from the calculation:
excess energy over the best structure of this formula in the dataset: 0.000 eV/atom
E_tot: -42.88 eV per formula unit
ΔH_f (0 K): -0.174 eV per atom
space group: Pnma (62)